[1]
## In4Hg2Pt (PBE)

Data for a geometry-optimized In4Hg2Pt structure.

For the formation energy, the calculation gives -58 meV per atom. As for the total magnetization: 0.0 μB/cell.

The structure belongs to space group I4/mmm (No. 139); the cell edges are 5.218, 5.218 and 15.394 Å and the angles 90.00°, 90.00° and 90.00°. Symmetry generates all atoms from In at (0.000, 0.000, 0.175), In at (0.000, 0.500, 0.000), Hg at (0.000, 0.000, 0.366) and Pt at (0.000, 0.000, 0.000).

[2]
## Zr5Ni3 (PBE)

Data for a geometry-optimized Zr5Ni3 structure.

For the formation energy, the calculation gives -135 meV per atom. As for the total magnetization: 0.0 μB/cell.

The structure belongs to space group Cmmm (No. 65); the cell edges are 6.624, 9.204 and 4.744 Å and the angles 90.00°, 90.00° and 90.00°. Symmetry generates all atoms from Zr at (0.000, 0.000, 0.000), Zr at (0.233, 0.500, 0.500), Zr at (0.250, 0.250, 0.000), Ni at (0.000, 0.234, 0.500) and Ni at (0.000, 0.500, 0.000).

[3]
## Pr3Y6Sc (PBE)

Data for a geometry-optimized Pr3Y6Sc structure.

For the formation energy, the calculation gives 232 meV per atom. As for the total magnetization: 0.0 μB/cell.

The structure belongs to space group R3 (No. 146, hexagonal axes); the cell edges are 9.9293, 9.9293 and 11.6165 Å and the angles 90.00°, 90.00° and 120.00°. Symmetry generates all atoms from Pr at (0.0000, 0.0000, 0.0000), Pr at (0.0000, 0.0000, 0.2551), Pr at (0.0000, 0.0000, 0.5096), Y at (0.0017, 0.3414, 0.3393), Y at (0.0079, 0.6728, 0.5028) and Sc at (0.0000, 0.0000, 0.7550).

[4]
## AcTb2Y6Er (PBE)

Data for a geometry-optimized AcTb2Y6Er structure.

For the formation energy, the calculation gives 127 meV per atom. As for the total magnetization: 0.0 μB/cell.

The structure belongs to space group C2/c (No. 15); the cell edges are 9.273, 15.299 and 9.555 Å and the angles 90.00°, 95.25° and 90.00°. Symmetry generates all atoms from Ac at (0.000, 0.030, 0.250), Tb at (0.242, 0.444, 0.449), Y at (0.059, 0.188, 0.942), Y at (0.101, 0.389, 0.113), Y at (0.216, 0.227, 0.317) and Er at (0.000, 0.413, 0.750).

[5]
## SrLa2BiRu (PBE)

Data for a geometry-optimized SrLa2BiRu structure.

For the formation energy, the calculation gives -435 meV per atom. As for the total magnetization: 0.0 μB/cell.

The structure belongs to space group P4/mmm (No. 123); the cell edges are 5.361, 5.361 and 5.879 Å and the angles 90.00°, 90.00° and 90.00°. Symmetry generates all atoms from Sr at (0.000, 0.000, 0.000), La at (0.000, 0.500, 0.500), Bi at (0.500, 0.500, 0.000) and Ru at (0.000, 0.000, 0.500).

[6]
## Li3YBe (PBE)

Data for a geometry-optimized Li3YBe structure.

For the formation energy, the calculation gives 1568 meV per atom. As for the total magnetization: 1.4 μB/cell.

The structure belongs to space group Pm-3m (No. 221); the cell edges are 5.465, 5.465 and 5.465 Å and the angles 90.00°, 90.00° and 90.00°. Symmetry generates all atoms from Li at (0.000, 0.000, 0.500), Y at (0.000, 0.000, 0.000) and Be at (0.500, 0.500, 0.500).

[7]
## PuSnAu2 (PBE)

Data for a geometry-optimized PuSnAu2 structure.

For the formation energy, the calculation gives -301 meV per atom. As for the total magnetization: 5.7 μB/cell.

The structure belongs to space group P4/mmm (No. 123); the cell edges are 4.718, 4.718 and 4.117 Å and the angles 90.00°, 90.00° and 90.00°. Symmetry generates all atoms from Pu at (0.000, 0.000, 0.000), Sn at (0.500, 0.500, 0.000) and Au at (0.000, 0.500, 0.500).

[8]
## Cd2SiH (PBE)

Data for a geometry-optimized Cd2SiH structure.

As for the total magnetization: 0.0 μB/cell.

The structure belongs to space group I-42d (No. 122); the cell edges are 5.088, 5.088 and 12.067 Å and the angles 90.00°, 90.00° and 90.00°. Symmetry generates all atoms from Cd at (0.159, 0.250, 0.125), Si at (0.000, 0.000, 0.500) and H at (0.000, 0.000, 0.000).

[9]
## AcMg2Sn8 (PBE)

Data for a geometry-optimized AcMg2Sn8 structure.

For the formation energy, the calculation gives -130 meV per atom. As for the total magnetization: 0.0 μB/cell.

The structure belongs to space group C2/m (No. 12); the cell edges are 8.916, 15.686 and 5.779 Å and the angles 90.00°, 129.47° and 90.00°. Symmetry generates all atoms from Ac at (0.000, 0.000, 0.000), Mg at (0.000, 0.318, 0.500), Sn at (0.000, 0.217, 0.000), Sn at (0.010, 0.500, 0.264) and Sn at (0.221, 0.133, 0.736).

[10]
## BRh3 (PBE)

Data for a geometry-optimized BRh3 structure.

For the formation energy, the calculation gives -78 meV per atom. As for the total magnetization: 0.0 μB/cell.

The structure belongs to space group P4_2/n (No. 86, origin choice 2); the cell edges are 9.292, 9.292 and 4.528 Å and the angles 90.00°, 90.00° and 90.00°. Symmetry generates all atoms from B at (0.040, 0.231, 0.006), Rh at (0.033, 0.569, 0.753), Rh at (0.110, 0.226, 0.530) and Rh at (0.151, 0.655, 0.255).

[11]
## InTePb2 (PBE)

Data for a geometry-optimized InTePb2 structure.

The calculation puts the formation energy without anion corrections at 0.056 eV/atom. As for the total magnetization: 0.0 μB/cell.

The structure belongs to space group Cmmm (No. 65); the cell edges are 3.864, 5.515 and 11.314 Å and the angles 90.00°, 90.00° and 90.00°. Symmetry generates all atoms from In at (0.000, 0.000, 0.000), Te at (0.000, 0.000, 0.500) and Pb at (0.000, 0.500, 0.245).

[12]
## Cs3HPb (PBE)

Data for a geometry-optimized Cs3HPb structure.

As for the total magnetization: 2.0 μB/cell.

The structure belongs to space group Pm-3m (No. 221); the cell edges are 6.168, 6.168 and 6.168 Å and the angles 90.00°, 90.00° and 90.00°. Symmetry generates all atoms from Cs at (0.000, 0.000, 0.500), H at (0.000, 0.000, 0.000) and Pb at (0.500, 0.500, 0.500).

Number 1: E -18.005 eV per formula unit. Number 2: E -61.167 eV per formula unit. Number 3: E -57.136 eV per formula unit. Number 4: E -55.450 eV per formula unit. Number 5: E -26.870 eV per formula unit. Number 6: E -8.091 eV per formula unit. Number 7: E -26.094 eV per formula unit. Number 8: E -8.656 eV per formula unit. Number 9: E -40.755 eV per formula unit. Number 10: E -29.043 eV per formula unit. Number 11: E -13.071 eV per formula unit. Number 12: E -9.869 eV per formula unit.